Record 1
The following is a DFT calculation (PBE) of a relaxed structure of K2MgMo.

Cell: 7.0769 7.0769 7.0769 Å, 149.55 134.78 55.50°
Element x y z (fractional)
K (0.0102, 0.0102, 0.0000)
Mg (0.7500, 0.2500, 0.5000)
K (0.4898, 0.4898, 0.0000)
Mo (0.2500, 0.7500, 0.5000)

## Properties
The formation energy is 4.687 eV/f.u. As for the space group: Immm. The density of states at the Fermi level comes out at 0.744 states/eV per atom. The raw total energy is -2.4833 eV/atom.

Record 2
The following is a DFT calculation (PBE) of a relaxed structure of KMg14Mo.

Cell: 6.4191 6.4191 10.4306 Å, 90.00 90.00 119.12°
Element x y z (fractional)
Mg (0.1786, 0.3462, 0.2517)
Mg (0.6614, 0.3386, 0.7656)
Mg (0.3281, 0.1573, 0.0000)
Mg (0.6538, 0.8214, 0.7483)
Mg (0.8242, 0.6723, 0.5000)
K (0.8234, 0.1766, 0.5000)
Mg (0.1786, 0.3462, 0.7483)
Mg (0.8377, 0.1623, 0.0000)
Mg (0.6614, 0.3386, 0.2344)
Mg (0.6538, 0.8214, 0.2517)
Mg (0.3371, 0.6629, 0.0000)
Mg (0.3277, 0.1758, 0.5000)
Mg (0.8427, 0.6719, 0.0000)
Mo (0.3426, 0.6574, 0.5000)
Mg (0.1745, 0.8255, 0.7303)
Mg (0.1745, 0.8255, 0.2697)

## Properties
The formation energy is 3.694 eV/f.u. As for the space group: Amm2. The density of states at the Fermi level comes out at 0.479 states/eV per atom. The calculation puts the energy above the most stable polymorph in this dataset at 28 meV/atom. The raw total energy is -1.9099 eV/atom.

Record 3
The following is a DFT calculation (PBE) of a relaxed structure of K2MgMo.

Cell: 5.8075 5.8075 5.8075 Å, 119.92 119.92 90.14°
Element x y z (fractional)
K (0.0000, 0.0000, 0.0000)
Mo (0.7500, 0.2500, 0.5000)
K (0.2500, 0.7500, 0.5000)
Mg (0.5000, 0.5000, 0.0000)

## Properties
The formation energy is 4.567 eV/f.u. As for the space group: I-4m2. The density of states at the Fermi level comes out at 0.732 states/eV per atom. The raw total energy is -2.5135 eV/atom.

Record 4
The following is a DFT calculation (PBE) of a relaxed structure of K2MgMo.

Cell: 12.9566 12.9566 12.9566 Å, 13.73 13.73 13.73°
Element x y z (fractional)
K (0.0050, 0.0050, 0.0050)
Mo (0.7500, 0.7500, 0.7500)
K (0.4950, 0.4950, 0.4950)
Mg (0.2500, 0.2500, 0.2500)

## Properties
The formation energy is 4.369 eV/f.u. As for the space group: R-3m. The density of states at the Fermi level comes out at 0.895 states/eV per atom. The raw total energy is -2.5630 eV/atom.

Record 5
The following is a DFT calculation (PBE) of a relaxed structure of K2MgMo.

Cell: 5.1850 5.1850 9.8273 Å, 88.63 88.63 32.71°
Element x y z (fractional)
Mo (0.2423, 0.2423, 0.3320)
K (0.7549, 0.7549, 0.6738)
K (0.9942, 0.9942, 0.0760)
Mg (0.5087, 0.5087, 0.4182)

## Properties
The formation energy is 3.887 eV/f.u. As for the space group: Cm. The density of states at the Fermi level comes out at 0.777 states/eV per atom. The raw total energy is -2.6835 eV/atom.

Record 6
The following is a DFT calculation (PBE) of a relaxed structure of KMgMo.

Cell: 8.8394 8.8394 8.8394 Å, 161.36 161.36 26.47°
Element x y z (fractional)
Mg (0.3065, 0.3065, 0.0000)
K (0.0099, 0.0099, 0.0000)
Mo (0.6836, 0.6836, 0.0000)

## Properties
The formation energy is 2.639 eV/f.u. As for the space group: I4mm. The density of states at the Fermi level comes out at 0.997 states/eV per atom. The calculation puts the energy above the most stable polymorph in this dataset at 0 meV/atom. The raw total energy is -3.6282 eV/atom.

Record 7
The following is a DFT calculation (PBE) of a relaxed structure of K2MgMo.

Cell: 3.1113 3.1113 12.4186 Å, 90.00 90.00 90.03°
Element x y z (fractional)
Mo (0.5000, 0.5000, 0.7116)
K (0.0000, 0.0000, 0.9424)
K (0.5000, 0.5000, 0.2872)
Mg (0.0000, 0.0000, 0.5588)

## Properties
The formation energy is 3.677 eV/f.u. As for the space group: P4mm. The density of states at the Fermi level comes out at 1.105 states/eV per atom. The raw total energy is -2.7360 eV/atom.

Record 8
The following is a DFT calculation (PBE) of a relaxed structure of KMgMo.

Cell: 2.9793 2.9793 8.8304 Å, 90.00 90.00 120.00°
Element x y z (fractional)
K (0.0000, 0.0000, 0.9873)
Mo (0.6667, 0.3333, 0.6408)
Mg (0.3333, 0.6667, 0.3719)

## Properties
The formation energy is 2.732 eV/f.u. As for the space group: P3m1. The density of states at the Fermi level comes out at 1.167 states/eV per atom. The calculation puts the energy above the most stable polymorph in this dataset at 31 meV/atom. The raw total energy is -3.5972 eV/atom.

Record 9
The following is a DFT calculation (PBE) of a relaxed structure of KMg2MoN4.

Cell: 5.6900 5.8276 7.4721 Å, 90.00 90.00 90.00°
Element x y z (fractional)
N (0.8272, 0.7360, 0.5000)
N (0.8551, 0.3458, 0.8087)
N (0.3272, 0.2640, 0.0000)
Mg (0.9973, 0.6722, 0.2449)
Mg (0.4973, 0.3278, 0.7449)
Mo (0.0047, 0.1997, 0.0000)
Mg (0.4973, 0.3278, 0.2551)
N (0.9710, 0.8753, 0.0000)
Mg (0.9973, 0.6722, 0.7551)
K (0.4923, 0.8177, 0.0000)
Mo (0.5047, 0.8003, 0.5000)
N (0.4710, 0.1247, 0.5000)
N (0.8551, 0.3458, 0.1913)
K (0.9923, 0.1823, 0.5000)
N (0.3551, 0.6542, 0.3087)
N (0.3551, 0.6542, 0.6913)

## Properties
As for the space group: Pmn2_1. The density of states at the Fermi level comes out at 0.515 states/eV per atom. The raw total energy is -6.4582 eV/atom.